[1]
DFT (meta-GGA SCAN) results for a PBEsol-optimized structure of CaAg3.

The structure in CIF format:
```
data_CaAg3
_cell_length_a 4.8798
_cell_length_b 6.0074
_cell_length_c 5.3346
_cell_angle_alpha 90.00
_cell_angle_beta 90.00
_cell_angle_gamma 90.00
_space_group_name_H-M_alt 'P 1'
_space_group_IT_number 1
loop_
_space_group_symop_operation_xyz
'x,y,z'
loop_
_atom_site_label
_atom_site_type_symbol
_atom_site_fract_x
_atom_site_fract_y
_atom_site_fract_z
Ca1 Ca 0.2500 0.2500 0.1511
Ca2 Ca 0.7500 0.7500 0.8489
Ag1 Ag 0.2500 0.0021 0.6567
Ag2 Ag 0.2500 0.4979 0.6567
Ag3 Ag 0.2500 0.7500 0.2041
Ag4 Ag 0.7500 0.2500 0.7959
Ag5 Ag 0.7500 0.5021 0.3433
Ag6 Ag 0.7500 0.9979 0.3433
```



[2]
DFT (meta-GGA SCAN) results for a PBEsol-optimized structure of CaAg2.

The structure in CIF format:
```
data_CaAg2
_cell_length_a 5.5318
_cell_length_b 5.5318
_cell_length_c 5.7919
_cell_angle_alpha 90.00
_cell_angle_beta 90.00
_cell_angle_gamma 132.26
_space_group_name_H-M_alt 'P 1'
_space_group_IT_number 1
loop_
_space_group_symop_operation_xyz
'x,y,z'
loop_
_atom_site_label
_atom_site_type_symbol
_atom_site_fract_x
_atom_site_fract_y
_atom_site_fract_z
Ca1 Ca 0.2050 0.7950 0.7500
Ca2 Ca 0.7950 0.2050 0.2500
Ag1 Ag 0.0872 0.9128 0.2500
Ag2 Ag 0.5000 0.5000 0.0000
Ag3 Ag 0.5000 0.5000 0.5000
Ag4 Ag 0.9128 0.0872 0.7500
```



[3]
DFT (meta-GGA SCAN) results for a PBEsol-optimized structure of CaAg.

The structure in CIF format:
```
data_CaAg
_cell_length_a 3.6361
_cell_length_b 3.6361
_cell_length_c 7.7648
_cell_angle_alpha 90.00
_cell_angle_beta 90.00
_cell_angle_gamma 90.00
_space_group_name_H-M_alt 'P 1'
_space_group_IT_number 1
loop_
_space_group_symop_operation_xyz
'x,y,z'
loop_
_atom_site_label
_atom_site_type_symbol
_atom_site_fract_x
_atom_site_fract_y
_atom_site_fract_z
Ca1 Ca 0.2500 0.2500 0.1914
Ca2 Ca 0.7500 0.7500 0.8086
Ag1 Ag 0.2500 0.2500 0.5838
Ag2 Ag 0.7500 0.7500 0.4162
```



[4]
DFT (meta-GGA SCAN) results for a PBEsol-optimized structure of CaCdAg2.

The structure in CIF format:
```
data_CaCdAg2
_cell_length_a 3.3917
_cell_length_b 3.6462
_cell_length_c 6.7265
_cell_angle_alpha 90.00
_cell_angle_beta 90.00
_cell_angle_gamma 90.00
_space_group_name_H-M_alt 'P 1'
_space_group_IT_number 1
loop_
_space_group_symop_operation_xyz
'x,y,z'
loop_
_atom_site_label
_atom_site_type_symbol
_atom_site_fract_x
_atom_site_fract_y
_atom_site_fract_z
Ca1 Ca 0.0000 0.0000 0.0000
Cd1 Cd 0.0000 0.0000 0.5000
Ag1 Ag 0.5000 0.5000 0.2805
Ag2 Ag 0.5000 0.5000 0.7195
```



[5]
DFT (meta-GGA SCAN) results for a PBEsol-optimized structure of CaCd2Ag2.

The structure in CIF format:
```
data_CaCd2Ag2
_cell_length_a 7.0399
_cell_length_b 7.0399
_cell_length_c 7.0399
_cell_angle_alpha 145.45
_cell_angle_beta 145.45
_cell_angle_gamma 49.66
_space_group_name_H-M_alt 'P 1'
_space_group_IT_number 1
loop_
_space_group_symop_operation_xyz
'x,y,z'
loop_
_atom_site_label
_atom_site_type_symbol
_atom_site_fract_x
_atom_site_fract_y
_atom_site_fract_z
Ca1 Ca 0.0000 0.0000 0.0000
Cd1 Cd 0.3922 0.3922 0.0000
Cd2 Cd 0.6078 0.6078 0.0000
Ag1 Ag 0.2500 0.7500 0.5000
Ag2 Ag 0.7500 0.2500 0.5000
```

Results
energy above the lowest structure with this stoichiometry = 0.000 eV per atom



[6]
DFT (meta-GGA SCAN) results for a PBEsol-optimized structure of Ca2CdAg2.

The structure in CIF format:
```
data_Ca2CdAg2
_cell_length_a 7.7355
_cell_length_b 7.7355
_cell_length_c 4.0317
_cell_angle_alpha 90.00
_cell_angle_beta 90.00
_cell_angle_gamma 90.00
_space_group_name_H-M_alt 'P 1'
_space_group_IT_number 1
loop_
_space_group_symop_operation_xyz
'x,y,z'
loop_
_atom_site_label
_atom_site_type_symbol
_atom_site_fract_x
_atom_site_fract_y
_atom_site_fract_z
Ca1 Ca 0.1745 0.3255 0.0000
Ca2 Ca 0.3255 0.8255 0.0000
Ca3 Ca 0.6745 0.1745 0.0000
Ca4 Ca 0.8255 0.6745 0.0000
Cd1 Cd 0.0000 0.0000 0.5000
Cd2 Cd 0.5000 0.5000 0.5000
Ag1 Ag 0.1263 0.6263 0.5000
Ag2 Ag 0.3737 0.1263 0.5000
Ag3 Ag 0.6263 0.8737 0.5000
Ag4 Ag 0.8737 0.3737 0.5000
```



no.,ΔE_f (eV/atom)
1,-0.201
2,-0.278
3,-0.181
4,-0.206
5,-0.174
6,-0.339